The following is a DFT calculation (PBE with a Hubbard U) of crystalline BaGaW2O8 at its relaxed geometry.

E_tot = -6.891 eV per atom
total moment = 0.8 μB per cell

Unit cell a=5.8759 b=5.8759 c=7.3480 alpha=90.00 beta=90.00 gamma=120.00
Space group P-3 (No. 147)
One atom of each set of equivalent atoms:
Ba 0.0000 0.0000 0.0000 x1
Ga 0.0000 0.0000 0.5000 x1
W 0.3333 0.6667 0.7558 x2
O 0.1587 0.3210 0.6838 x6
O 0.3333 0.6667 0.0002 x2

The following is a DFT calculation (PBE with a Hubbard U) of crystalline Ba3Ga2WO8 at its relaxed geometry.

E_tot = -6.475 eV per atom
total moment = 2.0 μB per cell

Unit cell a=5.8369 b=5.8369 c=7.5666 alpha=90.00 beta=90.00 gamma=120.00
Space group P-3m1 (No. 164)
One atom of each set of equivalent atoms:
Ba 0.0000 0.0000 0.0000 x1
Ba 0.3333 0.6667 0.6652 x2
Ga 0.3333 0.6667 0.2239 x2
W 0.0000 0.0000 0.5000 x1
O 0.1634 0.3269 0.3304 x6
O 0.3333 0.6667 0.9890 x2

The following is a DFT calculation (PBE with a Hubbard U) of crystalline BaGaWO6 at its relaxed geometry.

E_tot = -6.667 eV per atom
total moment = 1.1 μB per cell

Unit cell a=5.3446 b=5.3446 c=5.6750 alpha=90.00 beta=90.00 gamma=120.00
Space group P312 (No. 149)
One atom of each set of equivalent atoms:
Ba 0.0000 0.0000 0.0000 x1
Ga 0.3333 0.6667 0.5000 x1
W 0.6667 0.3333 0.5000 x1
O 0.4007 0.0073 0.6953 x6

Q: Which value of total moment does entry 1 give?
A: 0.8 μB per cell